Model i:
# NaBe2H4

A geometry-optimized NaBe2H4 structure (PBE, Alexandria via LeMat-Bulk).

Geometry as extended XYZ:
```
14
Lattice="6.303 0.000 0.000 0.000 6.303 0.000 0.000 0.000 4.022" Properties=species:S:1:pos:R:3 pbc="T T T"
Na 0.000 0.000 0.000
Na 3.152 3.152 2.011
Be 0.000 3.152 1.005
Be 0.000 3.152 3.016
Be 3.152 0.000 1.005
Be 3.152 0.000 3.016
H 0.318 2.129 0.000
H 1.023 3.469 2.011
H 2.129 5.986 0.000
H 2.834 1.023 2.011
H 3.469 5.280 2.011
H 4.175 0.318 0.000
H 5.280 2.834 2.011
H 5.986 4.175 0.000
```

Values from the calculation:
Its density of states at the Fermi level is 2.8 states/eV per cell.


Model ii:
# NaBe2H4

A geometry-optimized NaBe2H4 structure (PBE, Alexandria via LeMat-Bulk).

Geometry as extended XYZ:
```
14
Lattice="5.140 0.000 0.000 -0.251 5.146 0.000 -0.819 -0.855 6.190" Properties=species:S:1:pos:R:3 pbc="T T T"
Na 0.000 0.000 0.000
Na 0.710 3.413 3.095
Be 1.880 0.613 5.219
Be 2.419 0.977 1.379
Be 3.558 2.375 0.968
Be 3.219 1.821 4.813
H 0.916 -0.318 4.911
H 1.516 -0.007 1.669
H 1.781 1.974 4.622
H 2.191 2.406 1.561
H 3.163 0.406 4.462
H 3.829 1.106 1.728
H 4.433 3.389 1.279
H 4.153 2.776 4.520
```

Values from the calculation:
Its density of states at the Fermi level is 0.0 states/eV per cell.


model ii is favored, and the nearest alternative lies 0.065 eV/atom above it.


Model i:
# Na2BeH6

A geometry-optimized Na2BeH6 structure (PBE, Alexandria via LeMat-Bulk).

Geometry as extended XYZ:
```
9
Lattice="0.000 3.379 3.379 3.379 0.000 3.379 3.379 3.379 0.000" Properties=species:S:1:pos:R:3 pbc="T T T"
Na 1.689 1.689 1.689
Na 5.068 5.068 5.068
Be 0.000 0.000 0.000
H 3.379 3.379 1.528
H 3.379 1.528 3.379
H 5.229 3.379 3.379
H 1.528 3.379 3.379
H 3.379 5.229 3.379
H 3.379 3.379 5.229
```

Values from the calculation:
Its density of states at the Fermi level is 2.2 states/eV per cell.


Model ii:
# Na2BeH6

A geometry-optimized Na2BeH6 structure (PBE, Alexandria via LeMat-Bulk).

Geometry as extended XYZ:
```
9
Lattice="4.987 -2.608 0.000 4.987 2.608 0.000 -0.955 0.000 3.364" Properties=species:S:1:pos:R:3 pbc="T T T"
Na 1.600 0.000 0.683
Na 7.419 0.000 2.681
Be 4.510 0.000 1.682
H 3.484 1.129 1.211
H 5.536 1.129 2.153
H 4.987 0.397 0.000
H 4.987 -0.397 0.000
H 3.484 -1.129 1.211
H 5.536 -1.129 2.153
```


model ii is favored, and the nearest alternative lies 0.139 eV/atom above it.


Model i:
# NaTa2BeH

A geometry-optimized NaTa2BeH structure (PBE, Alexandria via LeMat-Bulk).

Geometry as extended XYZ:
```
5
Lattice="4.095 0.000 0.000 0.000 4.095 0.000 0.000 0.000 4.108" Properties=species:S:1:pos:R:3 pbc="T T T"
Na 0.000 0.000 0.000
Ta 0.000 2.048 2.054
Ta 2.048 0.000 2.054
Be 2.048 2.048 0.000
H 2.048 2.048 2.054
```

Values from the calculation:
Its density of states at the Fermi level is 3.6 states/eV per cell.


Model ii:
# NaTa2BeH

A geometry-optimized NaTa2BeH structure (PBE, Alexandria via LeMat-Bulk).

Geometry as extended XYZ:
```
5
Lattice="4.776 0.000 0.000 0.000 4.776 0.000 0.000 0.000 3.939" Properties=species:S:1:pos:R:3 pbc="T T T"
Na 0.000 0.000 0.000
Ta 0.000 2.388 0.000
Ta 2.388 0.000 0.000
Be 0.000 0.000 1.970
H 2.388 2.388 1.970
```

Values from the calculation:
Its density of states at the Fermi level is 4.6 states/eV per cell.


model i is favored, and the nearest alternative lies 2.140 eV/atom above it.


Model i:
# BeNb2H

A geometry-optimized BeNb2H structure (PBE, Alexandria via LeMat-Bulk).

Geometry as extended XYZ:
```
16
Lattice="5.820 0.000 0.000 0.000 5.820 0.000 0.000 0.000 5.820" Properties=species:S:1:pos:R:3 pbc="T T T"
Be 0.000 0.000 0.000
Be 0.000 2.910 2.910
Be 2.910 0.000 2.910
Be 2.910 2.910 0.000
Nb 1.455 1.455 1.455
Nb 1.455 1.455 4.365
Nb 1.455 4.365 1.455
Nb 1.455 4.365 4.365
Nb 4.365 1.455 1.455
Nb 4.365 1.455 4.365
Nb 4.365 4.365 1.455
Nb 4.365 4.365 4.365
H 0.000 0.000 2.910
H 0.000 2.910 0.000
H 2.910 0.000 0.000
H 2.910 2.910 2.910
```

Values from the calculation:
Its density of states at the Fermi level is 8.2 states/eV per cell.


Model ii:
# BeNb2H

A geometry-optimized BeNb2H structure (PBE, Alexandria via LeMat-Bulk).

Geometry as extended XYZ:
```
16
Lattice="5.853 0.000 0.000 0.000 5.853 0.000 0.000 0.000 5.822" Properties=species:S:1:pos:R:3 pbc="T T T"
Be 0.000 0.000 0.000
Be 0.000 2.926 1.456
Be 2.926 0.000 4.367
Be 2.926 2.926 2.911
Nb 1.084 1.463 3.639
Nb 1.463 4.010 5.094
Nb 1.463 4.769 2.183
Nb 1.843 1.463 0.728
Nb 4.010 4.390 0.728
Nb 4.390 1.084 2.183
Nb 4.390 1.843 5.094
Nb 4.769 4.390 3.639
H 0.000 0.000 2.911
H 0.000 2.926 4.367
H 2.926 0.000 1.456
H 2.926 2.926 0.000
```

Values from the calculation:
Its density of states at the Fermi level is 3.3 states/eV per cell.


model ii is favored, and the nearest alternative lies 0.236 eV/atom above it.


Model i:
# Be2NbH

A geometry-optimized Be2NbH structure (PBE, Alexandria via LeMat-Bulk).

Geometry as extended XYZ:
```
8
Lattice="0.000 3.350 3.350 3.350 0.000 3.350 3.350 3.350 0.000" Properties=species:S:1:pos:R:3 pbc="T T T"
Be 0.000 0.000 0.000
Be 1.675 1.675 0.000
Be 1.675 0.000 1.675
Be 0.000 1.675 1.675
Nb 2.512 2.512 2.512
Nb 4.187 4.187 4.187
H 0.837 0.837 0.837
H 5.862 5.862 5.862
```

Values from the calculation:
Its density of states at the Fermi level is 0.4 states/eV per cell.


Model ii:
# Be2NbH

A geometry-optimized Be2NbH structure (PBE, Alexandria via LeMat-Bulk).

Geometry as extended XYZ:
```
16
Lattice="5.523 0.000 0.000 0.000 5.523 0.000 0.000 0.000 5.523" Properties=species:S:1:pos:R:3 pbc="T T T"
Be 1.381 1.381 1.381
Be 1.381 1.381 4.142
Be 1.381 4.142 1.381
Be 1.381 4.142 4.142
Be 4.142 1.381 1.381
Be 4.142 1.381 4.142
Be 4.142 4.142 1.381
Be 4.142 4.142 4.142
Nb 0.000 0.000 0.000
Nb 0.000 2.761 2.761
Nb 2.761 0.000 2.761
Nb 2.761 2.761 0.000
H 0.000 0.000 2.761
H 0.000 2.761 0.000
H 2.761 0.000 0.000
H 2.761 2.761 2.761
```

Values from the calculation:
Its density of states at the Fermi level is 4.0 states/eV per cell.


model i is favored, and the nearest alternative lies 0.823 eV/atom above it.


Model i:
# Be3NbH

A geometry-optimized Be3NbH structure (PBE, Alexandria via LeMat-Bulk).

Geometry as extended XYZ:
```
5
Lattice="4.710 0.000 0.000 0.000 4.710 0.000 0.000 0.000 4.710" Properties=species:S:1:pos:R:3 pbc="T T T"
Be 0.000 0.000 2.355
Be 0.000 2.355 0.000
Be 2.355 0.000 0.000
Nb 0.000 0.000 0.000
H 2.355 2.355 2.355
```

Values from the calculation:
Its density of states at the Fermi level is 6.2 states/eV per cell.


Model ii:
# Be3NbH

A geometry-optimized Be3NbH structure (PBE, Alexandria via LeMat-Bulk).

Geometry as extended XYZ:
```
5
Lattice="3.573 0.000 0.000 0.000 3.573 0.000 0.000 0.000 3.573" Properties=species:S:1:pos:R:3 pbc="T T T"
Be 0.000 0.000 1.786
Be 0.000 1.786 0.000
Be 1.786 0.000 0.000
Nb 1.786 1.786 1.786
H 0.000 0.000 0.000
```

Values from the calculation:
Its density of states at the Fermi level is 1.7 states/eV per cell.


model ii is favored, and the nearest alternative lies 2.148 eV/atom above it.


Model i:
# BeNiH2

A geometry-optimized BeNiH2 structure (PBE, Alexandria via LeMat-Bulk).

Geometry as extended XYZ:
```
16
Lattice="4.626 0.000 0.000 0.000 4.626 0.000 0.000 0.000 4.626" Properties=species:S:1:pos:R:3 pbc="T T T"
Be 0.000 0.000 0.000
Be 0.000 2.313 2.313
Be 2.313 0.000 2.313
Be 2.313 2.313 0.000
Ni 0.000 0.000 2.313
Ni 0.000 2.313 0.000
Ni 2.313 0.000 0.000
Ni 2.313 2.313 2.313
H 1.157 1.157 1.157
H 1.157 1.157 3.470
H 1.157 3.470 1.157
H 1.157 3.470 3.470
H 3.470 1.157 1.157
H 3.470 1.157 3.470
H 3.470 3.470 1.157
H 3.470 3.470 3.470
```

Values from the calculation:
Its density of states at the Fermi level is 4.9 states/eV per cell.


Model ii:
# BeNiH2

A geometry-optimized BeNiH2 structure (PBE, Alexandria via LeMat-Bulk).

Geometry as extended XYZ:
```
12
Lattice="2.742 0.000 0.000 -1.371 2.375 0.000 0.000 0.000 12.533" Properties=species:S:1:pos:R:3 pbc="T T T"
Be 0.000 0.000 0.000
Be 0.000 1.583 8.355
Be 1.371 0.792 4.178
Ni 0.000 0.000 6.266
Ni 0.000 1.583 2.089
Ni 1.371 0.792 10.444
H 0.000 0.000 1.476
H 0.000 0.000 11.057
H 0.000 1.583 6.880
H 0.000 1.583 9.831
H 1.371 0.792 2.702
H 1.371 0.792 5.653
```

Values from the calculation:
Its density of states at the Fermi level is 1.5 states/eV per cell.


Model iii:
# BeNiH2

A geometry-optimized BeNiH2 structure (PBE, Alexandria via LeMat-Bulk).

Geometry as extended XYZ:
```
16
Lattice="3.648 0.000 0.000 0.000 3.648 0.000 0.000 0.000 7.709" Properties=species:S:1:pos:R:3 pbc="T T T"
Be 0.000 0.000 0.000
Be 0.000 1.824 1.927
Be 1.824 0.000 5.782
Be 1.824 1.824 3.854
Ni 0.000 0.000 3.854
Ni 0.000 1.824 5.782
Ni 1.824 0.000 1.927
Ni 1.824 1.824 0.000
H 0.860 0.912 0.964
H 0.912 2.683 2.891
H 0.912 2.788 6.745
H 0.964 0.912 4.818
H 2.683 2.736 4.818
H 2.736 0.860 6.745
H 2.736 0.964 2.891
H 2.788 2.736 0.964
```

Values from the calculation:
Its density of states at the Fermi level is 0.0 states/eV per cell.


model iii is favored, and the nearest alternative lies 0.157 eV/atom above it.


Model i:
# BeNiH3

A geometry-optimized BeNiH3 structure (PBE, Alexandria via LeMat-Bulk).

Geometry as extended XYZ:
```
5
Lattice="3.083 0.000 0.000 0.000 3.083 0.000 0.000 0.000 3.083" Properties=species:S:1:pos:R:3 pbc="T T T"
Be 0.000 0.000 0.000
Ni 1.541 1.541 1.541
H 0.000 0.000 1.541
H 0.000 1.541 0.000
H 1.541 0.000 0.000
```

Values from the calculation:
Its density of states at the Fermi level is 0.6 states/eV per cell.


Model ii:
# BeNiH3

A geometry-optimized BeNiH3 structure (PBE, Alexandria via LeMat-Bulk).

Geometry as extended XYZ:
```
5
Lattice="3.164 0.000 0.000 0.000 3.164 0.000 0.000 0.000 3.164" Properties=species:S:1:pos:R:3 pbc="T T T"
Be 0.000 0.000 0.000
Ni 1.582 1.582 1.582
H 0.000 1.582 1.582
H 1.582 0.000 1.582
H 1.582 1.582 0.000
```

Values from the calculation:
Its density of states at the Fermi level is 0.7 states/eV per cell.


model ii is favored, and the nearest alternative lies 0.141 eV/atom above it.


Model i:
# BeNi2HPd

A geometry-optimized BeNi2HPd structure (PBE, Alexandria via LeMat-Bulk).

Geometry as extended XYZ:
```
5
Lattice="3.483 0.000 0.000 0.000 3.483 0.000 0.000 0.000 3.929" Properties=species:S:1:pos:R:3 pbc="T T T"
Be 0.000 0.000 0.000
Ni 0.000 1.742 1.965
Ni 1.742 0.000 1.965
H 0.000 0.000 1.965
Pd 1.742 1.742 0.000
```

Values from the calculation:
Its density of states at the Fermi level is 5.1 states/eV per cell.


Model ii:
# BeNi2HPd

A geometry-optimized BeNi2HPd structure (PBE, Alexandria via LeMat-Bulk).

Geometry as extended XYZ:
```
5
Lattice="3.500 0.000 0.000 0.000 3.500 0.000 0.000 0.000 3.943" Properties=species:S:1:pos:R:3 pbc="T T T"
Be 0.000 0.000 0.000
Ni 0.000 1.750 1.972
Ni 1.750 0.000 1.972
H 1.750 1.750 1.972
Pd 1.750 1.750 0.000
```

Values from the calculation:
Its density of states at the Fermi level is 5.0 states/eV per cell.


model ii is favored, and the nearest alternative lies 0.023 eV/atom above it.


Model i:
# Be2NiHRu

A geometry-optimized Be2NiHRu structure (PBE, Alexandria via LeMat-Bulk).

Geometry as extended XYZ:
```
5
Lattice="3.756 0.000 0.000 0.000 3.756 0.000 0.000 0.000 3.043" Properties=species:S:1:pos:R:3 pbc="T T T"
Be 0.000 1.878 0.000
Be 1.878 0.000 0.000
Ni 0.000 0.000 1.522
H 0.000 0.000 0.000
Ru 1.878 1.878 1.522
```

Values from the calculation:
Its density of states at the Fermi level is 1.6 states/eV per cell.


Model ii:
# Be2NiHRu

A geometry-optimized Be2NiHRu structure (PBE, Alexandria via LeMat-Bulk).

Geometry as extended XYZ:
```
5
Lattice="3.678 0.000 0.000 0.000 3.678 0.000 0.000 0.000 3.292" Properties=species:S:1:pos:R:3 pbc="T T T"
Be 0.000 1.839 0.000
Be 1.839 0.000 0.000
Ni 0.000 0.000 1.646
H 1.839 1.839 0.000
Ru 1.839 1.839 1.646
```

Values from the calculation:
Its density of states at the Fermi level is 2.7 states/eV per cell.


model i is favored, and the nearest alternative lies 0.059 eV/atom above it.


Model i:
# BeV2NiH

A geometry-optimized BeV2NiH structure (PBE, Alexandria via LeMat-Bulk).

Geometry as extended XYZ:
```
5
Lattice="3.653 0.000 0.000 0.000 3.653 0.000 0.000 0.000 3.611" Properties=species:S:1:pos:R:3 pbc="T T T"
Be 0.000 0.000 0.000
V 0.000 1.826 1.806
V 1.826 0.000 1.806
Ni 1.826 1.826 0.000
H 0.000 0.000 1.806
```

Values from the calculation:
Its density of states at the Fermi level is 4.0 states/eV per cell.


Model ii:
# BeV2NiH

A geometry-optimized BeV2NiH structure (PBE, Alexandria via LeMat-Bulk).

Geometry as extended XYZ:
```
5
Lattice="3.678 0.000 0.000 0.000 3.678 0.000 0.000 0.000 3.594" Properties=species:S:1:pos:R:3 pbc="T T T"
Be 0.000 0.000 0.000
V 0.000 1.839 1.797
V 1.839 0.000 1.797
Ni 1.839 1.839 0.000
H 1.839 1.839 1.797
```

Values from the calculation:
Its density of states at the Fermi level is 3.2 states/eV per cell.


model ii is favored, and the nearest alternative lies 0.036 eV/atom above it.


Model i:
# Be2HO

A geometry-optimized Be2HO structure (PBE, Alexandria via LeMat-Bulk).

Geometry as extended XYZ:
```
16
Lattice="3.815 0.000 0.000 0.000 3.815 0.000 0.000 0.000 7.877" Properties=species:S:1:pos:R:3 pbc="T T T"
Be 0.903 0.954 0.985
Be 0.954 2.810 2.954
Be 0.954 2.912 6.892
Be 1.004 0.954 4.923
Be 2.810 2.861 4.923
Be 2.861 0.903 6.892
Be 2.861 1.004 2.954
Be 2.912 2.861 0.985
H 0.000 0.000 3.939
H 0.000 1.907 5.908
H 1.907 0.000 1.969
H 1.907 1.907 0.000
O 0.000 0.000 0.000
O 0.000 1.907 1.969
O 1.907 0.000 5.908
O 1.907 1.907 3.939
```

Values from the calculation:
Its density of states at the Fermi level is 6.4 states/eV per cell.


Model ii:
# Be2HO

A geometry-optimized Be2HO structure (PBE, Alexandria via LeMat-Bulk).

Geometry as extended XYZ:
```
16
Lattice="4.774 0.000 0.000 0.000 4.774 0.000 0.000 0.000 4.774" Properties=species:S:1:pos:R:3 pbc="T T T"
Be 1.194 1.194 1.194
Be 1.194 1.194 3.581
Be 1.194 3.581 1.194
Be 1.194 3.581 3.581
Be 3.581 1.194 1.194
Be 3.581 1.194 3.581
Be 3.581 3.581 1.194
Be 3.581 3.581 3.581
H 0.000 0.000 0.000
H 0.000 2.387 2.387
H 2.387 0.000 2.387
H 2.387 2.387 0.000
O 0.000 0.000 2.387
O 0.000 2.387 0.000
O 2.387 0.000 0.000
O 2.387 2.387 2.387
```

Values from the calculation:
Its density of states at the Fermi level is 3.2 states/eV per cell.


model i is favored, and the nearest alternative lies 0.869 eV/atom above it.